Record 1
Density functional theory data (PBE) for a geometry-optimized SmThTlZn structure.

Unit cell a=5.3554 b=5.3554 c=5.3554 alpha=60.00 beta=60.00 gamma=60.00
Positions (direct):
Zn 0.5000 0.5000 0.5000
Tl 0.0000 0.0000 0.0000
Sm 0.7500 0.7500 0.7500
Th 0.2500 0.2500 0.2500

Results
formation energy from the elements = -0.8 eV/f.u.
ρ = 10.0 g/cm³
space-group type = No. 216
calculated volume = 27.2 Å³ per atom
spin magnetization = 0.00 μB/f.u.

=====

Record 2
Density functional theory data (PBE) for a geometry-optimized Er4Sb2H structure.

Unit cell a=6.2338 b=6.3228 c=8.8676 alpha=90.00 beta=107.90 gamma=89.97
Positions (direct):
Er 0.5376 0.5017 0.3025
Er 0.1492 0.7502 0.9435
Er 0.8508 0.2498 0.0565
Er 0.5373 0.9981 0.3024
Er 0.9312 0.2498 0.6560
Er 0.4627 0.0019 0.6976
Er 0.4624 0.4983 0.6975
Er 0.0688 0.7502 0.3440
Sb 0.6957 0.7499 0.0271
Sb 0.3043 0.2501 0.9729
Sb 0.1532 0.2502 0.3959
Sb 0.8468 0.7498 0.6041
H 0.2939 0.7499 0.2007
H 0.7061 0.2501 0.7993

Results
ΔE to the lowest computed polymorph = 9 meV/atom
ρ = 9.1 g/cm³
space-group type = No. 11
calculated volume = 23.8 Å³ per atom
spin magnetization = 0.00 μB/f.u.

=====

Record 3
Density functional theory data (PBE) for a geometry-optimized Hf5Nb2Sb structure.

Unit cell a=6.9774 b=6.9774 c=8.7174 alpha=113.59 beta=113.59 gamma=90.00
Positions (direct):
Hf 0.5030 0.6919 0.6949
Hf 0.8081 0.9970 0.3051
Hf 0.0000 0.0000 0.0000
Hf 0.5000 0.5000 0.0000
Hf 0.1919 0.0030 0.6949
Hf 0.6919 0.1919 0.6949
Hf 0.0030 0.5030 0.6949
Hf 0.3081 0.8081 0.3051
Hf 0.9970 0.4970 0.3051
Hf 0.4970 0.3081 0.3051
Nb 0.1429 0.3571 0.0000
Nb 0.6429 0.1429 0.0000
Nb 0.3571 0.8571 0.0000
Nb 0.8571 0.6429 0.0000
Sb 0.7500 0.7500 0.5000
Sb 0.2500 0.2500 0.5000

Results
ρ = 11.4 g/cm³
space-group type = No. 140
calculated volume = 21.9 Å³ per atom
raw formation energy = 0.004 eV per atom
spin magnetization = 0.00 μB/f.u.

=====

Record 4
Density functional theory data (PBE) for a geometry-optimized Ca2TmMg structure.

Unit cell a=4.1518 b=4.1518 c=7.6562 alpha=90.00 beta=90.00 gamma=90.00
Positions (direct):
Ca 0.0000 0.0000 0.7614
Ca 0.0000 0.0000 0.2386
Tm 0.5000 0.5000 0.5000
Mg 0.5000 0.5000 0.0000

Results
ΔE to the lowest computed polymorph = 0 meV/atom
formation energy from the elements = 0.4 eV/f.u.
ρ = 3.4 g/cm³
space-group type = No. 123
calculated volume = 33.0 Å³ per atom
spin magnetization = 0.00 μB/f.u.

=====

Record 5
Density functional theory data (PBE) for a geometry-optimized BaLaCr2 structure.

Unit cell a=5.4326 b=5.4779 c=4.0189 alpha=90.00 beta=90.00 gamma=90.00
Each line ends with the local moment (μB).
Positions (direct):
Ba 0.0000 0.5000 0.5000  0.00
Cr 0.0000 0.0000 0.0000  -3.77
Cr 0.5000 0.5000 0.0000  3.77
La 0.5000 0.0000 0.5000  0.00

Results
ΔE to the lowest computed polymorph = 158 meV/atom
formation energy from the elements = 2.9 eV/f.u.
ρ = 5.3 g/cm³
space-group type = No. 47
calculated volume = 29.9 Å³ per atom
spin magnetization = 0.00 μB/f.u.

=====

Record 6
Density functional theory data (PBE) for a geometry-optimized Y7S5N structure.

Unit cell a=3.7377 b=6.7386 c=23.9095 alpha=90.00 beta=90.00 gamma=106.18
Positions (direct):
Y 0.4518 0.9095 0.2540
Y 0.5487 0.0916 0.7540
Y 0.6119 0.2227 0.0360
Y 0.3361 0.6726 0.9610
Y 0.3887 0.7784 0.5360
Y 0.6645 0.3286 0.4609
Y 0.1677 0.3321 0.1679
Y 0.7637 0.5337 0.8137
Y 0.8328 0.6690 0.6679
Y 0.2369 0.4674 0.3136
Y 0.8936 0.7852 0.1027
Y 0.0608 0.1223 0.8840
Y 0.1070 0.2159 0.6027
Y 0.9398 0.8789 0.3839
S 0.9757 0.9514 0.9964
S 0.6968 0.3942 0.9252
S 0.2542 0.5069 0.0655
S 0.5853 0.1684 0.3516
S 0.4740 0.9507 0.6425
S 0.0249 0.0498 0.4963
S 0.3038 0.6070 0.4252
S 0.7464 0.4943 0.5654
S 0.4153 0.8328 0.8516
S 0.5266 0.0504 0.1425
N 0.8612 0.7245 0.2997
N 0.1394 0.2767 0.7997

Results
ρ = 4.6 g/cm³
space-group type = No. 4
calculated volume = 22.2 Å³ per atom
raw formation energy = -1.680 eV per atom
spin magnetization = 0.07 μB/f.u.

=====

Record 7
Density functional theory data (PBE) for a geometry-optimized Nb2ZnPd9 structure.

Unit cell a=3.9549 b=3.9549 c=11.8722 alpha=90.00 beta=90.00 gamma=90.00
Positions (direct):
Nb 0.0000 0.0000 0.3252
Nb 0.0000 0.0000 0.6748
Zn 0.0000 0.0000 0.0000
Pd 0.5000 0.5000 0.0000
Pd 0.5000 0.5000 0.3353
Pd 0.5000 0.5000 0.6647
Pd 0.5000 0.0000 0.1686
Pd 0.5000 0.0000 0.5000
Pd 0.5000 0.0000 0.8314
Pd 0.0000 0.5000 0.1686
Pd 0.0000 0.5000 0.5000
Pd 0.0000 0.5000 0.8314

Results
formation energy from the elements = -5.0 eV/f.u.
ρ = 10.8 g/cm³
space-group type = No. 123
calculated volume = 15.5 Å³ per atom
spin magnetization = 0.00 μB/f.u.

=====

Record 8
Density functional theory data (PBE) for a geometry-optimized Li7GaHg4 structure.

Unit cell a=4.9504 b=7.8053 c=7.1575 alpha=64.28 beta=69.77 gamma=71.51
Positions (direct):
Li 0.8044 0.8727 0.5186
Li 0.1956 0.1273 0.4814
Li 0.0747 0.5889 0.2618
Li 0.9253 0.4111 0.7382
Li 0.2279 0.7426 0.8016
Li 0.5000 0.0000 0.0000
Li 0.7721 0.2574 0.1984
Ga 0.0000 0.0000 0.0000
Hg 0.5712 0.2718 0.5859
Hg 0.4288 0.7282 0.4141
Hg 0.6829 0.6499 0.9843
Hg 0.3171 0.3501 0.0157

Results
formation energy from the elements = -2.7 eV/f.u.
ρ = 6.7 g/cm³
space-group type = No. 12
calculated volume = 19.1 Å³ per atom
spin magnetization = 0.00 μB/f.u.

=====

Record 9
Density functional theory data (PBE) for a geometry-optimized NaYSbPd structure.

Unit cell a=5.0748 b=5.0748 c=5.0748 alpha=60.00 beta=60.00 gamma=60.00
Positions (direct):
Y 0.2500 0.2500 0.2500
Sb 0.0000 0.0000 0.0000
Pd 0.5000 0.5000 0.5000
Na 0.7500 0.7500 0.7500

Results
ρ = 6.1 g/cm³
space-group type = No. 216
calculated volume = 23.1 Å³ per atom
raw formation energy = -0.599 eV per atom
spin magnetization = 0.00 μB/f.u.

=====

Record 10
Density functional theory data (PBE) for a geometry-optimized Co2Ni2Sn5 structure.

Unit cell a=6.7932 b=6.5152 c=8.7487 alpha=111.86 beta=112.85 gamma=90.00
Positions (direct):
Co 0.0000 0.8682 0.0000
Co 0.5000 0.3682 0.0000
Co 0.2592 0.4505 0.5000
Co 0.7408 0.9505 0.5000
Ni 0.1014 0.6223 0.1750
Ni 0.8986 0.4473 0.8250
Ni 0.5735 0.1223 0.1750
Ni 0.4265 0.9473 0.8250
Sn 0.2643 0.6308 0.8701
Sn 0.7357 0.7608 0.1299
Sn 0.1058 0.1308 0.8701
Sn 0.8942 0.2608 0.1299
Sn 0.3220 0.0335 0.3064
Sn 0.6780 0.7270 0.6936
Sn 0.4845 0.5335 0.3064
Sn 0.5155 0.2270 0.6936
Sn 0.0927 0.7955 0.5000
Sn 0.9073 0.2955 0.5000

Results
formation energy from the elements = -0.3 eV/f.u.
ρ = 8.4 g/cm³
space-group type = No. 46
calculated volume = 18.1 Å³ per atom
spin magnetization = 0.00 μB/f.u.

=====

Record 11
Density functional theory data (PBE) for a geometry-optimized AlBN2O structure.

Unit cell a=2.9870 b=2.9870 c=5.0500 alpha=90.00 beta=90.00 gamma=90.00
Positions (direct):
B 0.0000 0.0000 0.0000
Al 0.5000 0.5000 0.5000
O 0.0000 0.0000 0.5000
N 0.0000 0.5000 0.0000
N 0.5000 0.0000 0.0000

Results
ρ = 3.0 g/cm³
space-group type = No. 123
calculated volume = 9.0 Å³ per atom
raw formation energy = 0.172 eV per atom
spin magnetization = 0.00 μB/f.u.

=====

Record 12
Density functional theory data (PBE) for a geometry-optimized BaBiCl structure.

Unit cell a=4.4175 b=4.5901 c=11.1500 alpha=90.00 beta=101.43 gamma=90.00
Positions (direct):
Ba 0.8831 0.7500 0.7662
Ba 0.1169 0.2500 0.2338
Bi 0.7520 0.2500 0.5040
Bi 0.2480 0.7500 0.4960
Cl 0.4252 0.2500 0.8504
Cl 0.5748 0.7500 0.1496

Results
ΔE to the lowest computed polymorph = 3 meV/atom
ρ = 5.7 g/cm³
space-group type = No. 63
calculated volume = 36.9 Å³ per atom
raw formation energy = -1.501 eV per atom
spin magnetization = 0.00 μB/f.u.